No. 1
Density functional theory data (PBE) for a relaxed structure of Pr2Co2Ge2N.

Results
Crystal system ... monoclinic
Space group ... C2/m
E_form (uncorrected) ... -0.723 eV/atom
Energy ... -6.6269 eV/atom

Geometry as POSCAR:
```
Pr2Co2Ge2N
1.0
3.9828 -0.0008 -0.0007
1.9901 5.5057 1.4224
-0.0012 2.9795 6.3974
Co Ge N Pr
2 2 1 2
Cartesian
3.9814 4.1672 5.0197 Co
1.9903 4.3171 2.7995 Co
1.9901 5.4805 4.9094 Ge
3.9816 3.0038 2.9098 Ge
0.0000 0.0000 0.0000 N
3.9800 7.3344 6.5449 Pr
1.9917 1.1499 1.2743 Pr
```

---

No. 2
Density functional theory data (PBE) for a relaxed structure of Nd2SmGe.

Results
Crystal system ... tetragonal
Space group ... P4/mmm
ΔE to the lowest computed polymorph ... 126 meV/atom
Energy ... -5.0204 eV/atom

Geometry as POSCAR:
```
Nd2SmGe
1.0
4.0559 0.0000 0.0000
0.0000 4.0559 0.0000
0.0000 0.0000 7.0326
Nd Ge Sm
2 1 1
Cartesian
0.0000 0.0000 2.0303 Nd
0.0000 0.0000 5.0024 Nd
2.0279 2.0279 3.5163 Ge
2.0279 2.0279 0.0000 Sm
```

---

No. 3
Density functional theory data (PBE) for a relaxed structure of La2ZnIn.

Results
Crystal system ... monoclinic
Space group ... Cm
Energy ... -3.8340 eV/atom

Geometry as POSCAR:
```
La2ZnIn
1.0
6.3646 -0.0217 -0.0161
5.1833 3.6935 -0.0161
2.1896 0.6962 4.7425
La In Zn
2 1 1
Cartesian
11.4731 3.6480 0.0037 La
10.5320 3.3488 3.4179 La
3.0558 0.9716 1.3703 In
7.0930 2.2553 2.2416 Zn
```

---

Which of these has the highest energy? La2ZnIn

---

What is the energy in the second record? -5.0204 eV/atom

---

The lowest energy belongs to which entry? Pr2Co2Ge2N

---

Please write out number 3 again, unchanged.
Density functional theory data (PBE) for a relaxed structure of La2ZnIn.

Results
Crystal system ... monoclinic
Space group ... Cm
Energy ... -3.8340 eV/atom

Geometry as POSCAR:
```
La2ZnIn
1.0
6.3646 -0.0217 -0.0161
5.1833 3.6935 -0.0161
2.1896 0.6962 4.7425
La In Zn
2 1 1
Cartesian
11.4731 3.6480 0.0037 La
10.5320 3.3488 3.4179 La
3.0558 0.9716 1.3703 In
7.0930 2.2553 2.2416 Zn
```